Density functional theory data (PBE with a Hubbard U) for crystalline CsZn2CrF8 at its relaxed geometry.

The structure in POSCAR format:
```
CsZn2CrF8
1.0
2.6467 1.5281 8.9258
-2.6467 1.5281 8.9258
0.0000 -3.0562 8.9258
Cs Zn Cr F
1 2 1 8
Direct
0.0000 0.0000 0.0000
0.2338 0.2338 0.2338
0.7662 0.7662 0.7662
0.5000 0.5000 0.5000
0.1563 0.4626 0.7547
0.2453 0.8437 0.5374
0.3033 0.3033 0.3033
0.4626 0.7547 0.1563
0.5374 0.2453 0.8437
0.6967 0.6967 0.6967
0.7547 0.1563 0.4626
0.8437 0.5374 0.2453
```

Results
Final energy in eV per atom: -4.676
Density of states at the Fermi level in states/eV per atom: 0.000
Total magnetization in Bohr magnetons per cell: 2.87
Space-group type: R-3, No. 148


Density functional theory data (PBE with a Hubbard U) for crystalline Cs2ZrCrF at its relaxed geometry.

The structure in POSCAR format:
```
Cs2ZrCrF
1.0
7.1762 0.0000 0.0000
0.0000 7.1762 0.0000
0.0000 0.0000 4.1584
Cs Zr Cr F
2 1 1 1
Direct
0.0000 0.5000 0.0000
0.5000 0.0000 0.0000
0.0000 0.0000 0.0000
0.5000 0.5000 0.5000
0.0000 0.0000 0.5000
```

Results
Final energy in eV per atom: -3.806
Density of states at the Fermi level in states/eV per atom: 1.159
Total magnetization in Bohr magnetons per cell: 7.29
Space-group type: P4/mmm, No. 123